Entry from the Alexandria database: a geometry-optimized KGaWO5 structure (GGA+U).

a = 5.909 Å, b = 5.909 Å, c = 7.570 Å
α = 105.60°, β = 105.60°, γ = 105.01°
Element x y z (fractional)
K: 0.172 0.828 0.750
K: 0.828 0.172 0.250
Ga: 0.189 0.811 0.250
Ga: 0.811 0.189 0.750
W: 0.500 0.500 0.000
W: 0.500 0.500 0.500
O: 0.151 0.279 0.899
O: 0.222 0.607 0.399
O: 0.279 0.151 0.399
O: 0.393 0.778 0.101
O: 0.448 0.552 0.750
O: 0.552 0.448 0.250
O: 0.607 0.222 0.899
O: 0.721 0.849 0.601
O: 0.778 0.393 0.601
O: 0.849 0.721 0.101

Calculated values
- E_tot (eV/atom) = -6.4970
- space-group type = No. 15
- total magnetization (μB per cell) = 0.00